Version A
DFT (GGA-PBE) results for crystalline MnAl8Cu2 at its relaxed geometry.

Cell: 7.305 7.305 6.212 Å, 105.70 105.70 30.75°
Element x y z (fractional)
Mn (0.000, 0.000, 0.000)
Al (0.097, 0.097, 0.448)
Al (0.180, 0.180, 0.915)
Al (0.358, 0.358, 0.808)
Al (0.456, 0.456, 0.266)
Al (0.544, 0.544, 0.734)
Al (0.642, 0.642, 0.192)
Al (0.820, 0.820, 0.085)
Al (0.903, 0.903, 0.552)
Cu (0.280, 0.280, 0.362)
Cu (0.720, 0.720, 0.638)

Properties
Space-group type: C2/m (12)

---

Version B
DFT (GGA-PBE) results for crystalline MnAl8Cu2 at its relaxed geometry.

Cell: 8.708 8.708 4.883 Å, 105.13 105.13 28.42°
Element x y z (fractional)
Mn (0.000, 0.000, 0.000)
Al (0.080, 0.080, 0.501)
Al (0.149, 0.149, 0.059)
Al (0.254, 0.254, 0.674)
Al (0.461, 0.461, 0.184)
Al (0.539, 0.539, 0.816)
Al (0.746, 0.746, 0.326)
Al (0.851, 0.851, 0.941)
Al (0.920, 0.920, 0.499)
Cu (0.314, 0.314, 0.233)
Cu (0.686, 0.686, 0.767)

Properties
Space-group type: C2/m (12)

---

Result of the stability comparison: version A is the most stable of them.

---

Version A
DFT (GGA-PBE) results for crystalline AlCu3Mo at its relaxed geometry.

Cell: 4.281 4.281 4.281 Å, 90.00 90.00 90.00°
Element x y z (fractional)
Al (0.000, 0.000, 0.000)
Cu (0.000, 0.000, 0.500)
Cu (0.000, 0.500, 0.000)
Cu (0.500, 0.000, 0.000)
Mo (0.500, 0.500, 0.500)

Properties
Space-group type: Pm-3m (221)

---

Version B
DFT (GGA-PBE) results for crystalline AlCu3Mo at its relaxed geometry.

Cell: 4.685 4.685 4.685 Å, 90.00 90.00 90.00°
Element x y z (fractional)
Al (0.000, 0.000, 0.000)
Cu (0.000, 0.500, 0.500)
Cu (0.500, 0.000, 0.500)
Cu (0.500, 0.500, 0.000)
Mo (0.500, 0.500, 0.500)

Properties
Space-group type: Pm-3m (221)

---

Result of the stability comparison: version A is the most stable of them.